Compound: Cr2Tc2Pt
Source: the Alexandria database
Functional: GGA-PBE
Structure: relaxed

Output
- V (Å³ per cell) = 139
- DFT formation energy (eV/atom) = 0.105
- energy (eV/cell) = -91.0
- M_tot (μB per atom) = 0.205
- D(E_F) (states/eV per atom) = 0.912

a b c (Å): 7.0152 7.0152 2.8284
angles (deg): 90.00 90.00 90.00
Last column: magnetic moment on the atom in μB.
Sites, in units of the cell vectors:
Tc 0.8372 0.3372 0.5000  -0.24
Cr 0.8635 0.6365 0.0000  0.71
Tc 0.3372 0.1628 0.5000  -0.23
Cr 0.3635 0.8635 0.0000  0.70
Tc 0.6628 0.8372 0.5000  -0.23
Cr 0.1365 0.3635 0.0000  0.71
Tc 0.1628 0.6628 0.5000  -0.24
Cr 0.6365 0.1365 0.0000  0.70
Pt 0.0000 0.0000 0.0000  0.01
Pt 0.5000 0.5000 0.0000  0.01